## TlIn2HgBi (PBE)

Data for a relaxed structure of TlIn2HgBi.

Computed properties:
Total moment, μB per formula unit: 0.00
SG: P2_1/m (11)
Crystal system: monoclinic
E, eV per atom: -2.371
ΔH_f (0 K), eV/atom: 0.034

a = 4.642 Å, b = 6.659 Å, c = 10.939 Å
α = 111.82°, β = 90.00°, γ = 90.00°
Fractional coordinates of all 10 atoms:
In (0.750, 0.484, 0.112)
In (0.250, 0.516, 0.888)
In (0.250, 0.436, 0.354)
Tl (0.250, 0.901, 0.231)
Tl (0.750, 0.099, 0.769)
Hg (0.250, 0.161, 0.030)
Bi (0.250, 0.220, 0.573)
Bi (0.750, 0.780, 0.427)
Hg (0.750, 0.839, 0.970)
In (0.750, 0.564, 0.646)